CdGaAg: optimized geometry, GGA-PBE.

Cell: 4.2340 4.2340 6.7455 Å, 90.00 90.00 90.00°
Last column: nearest neighbours and their distance in Å.
Positions (direct):
Cd: 0.0000 0.5000 0.6797  5 Ga 2.71-3.01, 4 Ag 3.03
Cd: 0.5000 0.0000 0.3203  5 Ga 2.71-3.01, 4 Ag 3.03
Ag: 0.5000 0.5000 0.0000  4 Ga 2.83, 4 Ag 2.99, 4 Cd 3.03
Ag: 0.0000 0.0000 0.0000  4 Ga 2.83, 4 Ag 2.99, 4 Cd 3.03
Ga: 0.5000 0.0000 0.7225  5 Cd 2.71-3.01, 4 Ag 2.83
Ga: 0.0000 0.5000 0.2775  5 Cd 2.71-3.01, 4 Ag 2.83

E (eV/cell): -13.469
SG: P4/nmm
N(E_F) (states/eV per cell): 1.79

***

CdGa2Ag2: optimized geometry, GGA-PBE.

Cell: 8.2052 8.2052 2.8726 Å, 90.00 90.00 90.00°
Last column: nearest neighbours and their distance in Å.
Positions (direct):
Ga: 0.3828 0.8828 0.0000  3 Ga 2.72-2.87, 6 Ag 2.73-2.90
Ga: 0.8828 0.6172 0.0000  3 Ga 2.72-2.87, 6 Ag 2.73-2.90
Ga: 0.6172 0.1172 0.0000  3 Ga 2.72-2.87, 6 Ag 2.73-2.90
Ga: 0.1172 0.3828 0.0000  3 Ga 2.72-2.87, 6 Ag 2.73-2.90
Ag: 0.1824 0.6824 0.5000  6 Ga 2.73-2.90, 2 Ag 2.87
Ag: 0.6824 0.8176 0.5000  6 Ga 2.73-2.90, 2 Ag 2.87
Ag: 0.8176 0.3176 0.5000  6 Ga 2.73-2.90, 2 Ag 2.87
Ag: 0.3176 0.1824 0.5000  6 Ga 2.73-2.90, 2 Ag 2.87
Cd: 0.0000 0.0000 0.0000  2 Cd 2.87
Cd: 0.5000 0.5000 0.0000  2 Cd 2.87

E (eV/cell): -25.058
SG: P4/mbm
N(E_F) (states/eV per cell): 3.05

***

CdGaAg6: optimized geometry, GGA-PBE.

Cell: 7.1333 7.1028 5.3399 Å, 48.31 48.12 60.04°
Last column: nearest neighbours and their distance in Å.
Positions (direct):
Cd: 0.5000 0.5000 0.5000  12 Ag 2.99-3.00
Ga: 0.0000 0.0000 0.0000  6 Ag 2.75-2.78
Ag: 0.9727 0.4841 0.7871  2 Ag 2.68-2.71, 1 Ga 2.75, 1 Cd 2.99
Ag: 0.7558 0.9726 0.7838  3 Ag 2.68-2.99, 1 Ga 2.78, 2 Cd 2.99-3.00
Ag: 0.5137 0.2438 0.2128  3 Ag 2.68-2.99, 1 Ga 2.77, 2 Cd 2.99-3.00
Ag: 0.2442 0.0274 0.2162  3 Ag 2.68-2.99, 1 Ga 2.78, 2 Cd 2.99-3.00
Ag: 0.0273 0.5159 0.2129  2 Ag 2.68-2.71, 1 Ga 2.75, 1 Cd 2.99
Ag: 0.4863 0.7562 0.7872  3 Ag 2.68-2.99, 1 Ga 2.77, 2 Cd 2.99-3.00

E (eV/cell): -20.660
SG: P-1
N(E_F) (states/eV per cell): 1.43

***

Cd4GaAg2: optimized geometry, GGA-PBE.

Cell: 3.0682 3.0682 17.9983 Å, 85.11 85.11 60.00°
Last column: nearest neighbours and their distance in Å.
Positions (direct):
Ag: 0.2347 0.2347 0.2958  4 Cd 2.81-2.96, 6 Ag 3.07
Ag: 0.7653 0.7653 0.7042  4 Cd 2.81-2.96, 6 Ag 3.07
Ga: 0.0000 0.0000 0.0000  6 Cd 3.05, 6 Ga 3.07
Cd: 0.7129 0.7129 0.8614  1 Ag 2.81, 3 Ga 3.05, 6 Cd 3.07
Cd: 0.2871 0.2871 0.1386  1 Ag 2.81, 3 Ga 3.05, 6 Cd 3.07
Cd: 0.1428 0.1428 0.5717  3 Ag 2.96, 9 Cd 3.07-3.12
Cd: 0.8572 0.8572 0.4283  3 Ag 2.96, 9 Cd 3.07-3.12

E (eV/cell): -12.021
SG: R-3m
N(E_F) (states/eV per cell): 1.90

***

CdGaAg2: optimized geometry, GGA-PBE.

Cell: 3.0348 3.0348 9.4604 Å, 80.77 80.77 60.00°
Last column: nearest neighbours and their distance in Å.
Positions (direct):
Ga: 0.0000 0.0000 0.0000  6 Ag 2.83, 6 Ga 3.03
Ag: 0.7462 0.7462 0.7614  3 Ga 2.83, 3 Cd 3.00, 6 Ag 3.03
Ag: 0.2538 0.2538 0.2386  3 Ga 2.83, 3 Cd 3.00, 6 Ag 3.03
Cd: 0.5000 0.5000 0.5000  6 Ag 3.00, 6 Cd 3.03

E (eV/cell): -9.631
SG: R-3m
N(E_F) (states/eV per cell): 1.65

***

CdGaAg5: optimized geometry, GGA-PBE.

Cell: 7.5677 5.5345 5.8850 Å, 118.05 130.01 90.00°
Last column: nearest neighbours and their distance in Å.
Positions (direct):
Cd: 0.8210 0.5000 0.0000  3 Ag 2.65-2.74
Ga: 0.4455 0.0000 0.0000  6 Ag 2.74-2.77
Ag: 0.9516 0.1848 0.3696  4 Ag 2.63-2.86, 1 Ga 2.76
Ag: 0.4706 0.5000 0.0000  1 Cd 2.65, 4 Ag 2.72-2.95, 2 Ga 2.77
Ag: 0.5820 0.8152 0.6304  4 Ag 2.63-2.86, 1 Ga 2.76
Ag: 0.1300 0.2413 0.0000  5 Ag 2.67-2.95, 1 Ga 2.74, 1 Cd 2.74
Ag: 0.1300 0.7587 0.0000  5 Ag 2.67-2.95, 1 Ga 2.74, 1 Cd 2.74

E (eV/cell): -16.773
SG: Imm2
N(E_F) (states/eV per cell): 2.78

***

CdGa2Ag8: optimized geometry, GGA-PBE.

Cell: 4.1643 6.5686 7.7701 Å, 105.80 105.54 90.00°
Last column: nearest neighbours and their distance in Å.
Positions (direct):
Cd: 0.5000 0.0000 0.0000  12 Ag 2.93-3.01
Ga: 0.7761 0.3555 0.5521  10 Ag 2.81-2.99, 2 Ga 3.06
Ga: 0.2239 0.6445 0.4479  10 Ag 2.81-2.99, 2 Ga 3.06
Ag: 0.4052 0.5381 0.8105  3 Ga 2.86-2.99, 8 Ag 2.91-3.02, 1 Cd 2.96
Ag: 0.6826 0.9194 0.3653  3 Ga 2.81-2.93, 8 Ag 2.88-2.96, 1 Cd 2.93
Ag: 0.8569 0.7977 0.7138  3 Ga 2.81-2.86, 7 Ag 2.91-3.04, 2 Cd 3.01
Ag: 0.9530 0.2713 0.9061  1 Ga 2.86, 9 Ag 2.93-3.04, 2 Cd 2.95
Ag: 0.1431 0.2023 0.2862  3 Ga 2.81-2.86, 7 Ag 2.91-3.04, 2 Cd 3.01
Ag: 0.3174 0.0806 0.6347  3 Ga 2.81-2.93, 8 Ag 2.88-2.96, 1 Cd 2.93
Ag: 0.5948 0.4619 0.1895  3 Ga 2.86-2.99, 8 Ag 2.91-3.02, 1 Cd 2.96
Ag: 0.0470 0.7287 0.0939  1 Ga 2.86, 9 Ag 2.93-3.04, 2 Cd 2.95

E (eV/cell): -30.059
SG: C2/m
N(E_F) (states/eV per cell): 1.71

***

Cd5Ga4Ag2: optimized geometry, GGA-PBE.

Cell: 3.0612 9.4913 9.0375 Å, 65.42 99.75 90.00°
Last column: nearest neighbours and their distance in Å.
Positions (direct):
Cd: 0.8472 0.9368 0.6944  1 Ag 2.84, 5 Cd 2.98-3.16, 1 Ga 3.00
Cd: 0.1528 0.0632 0.3056  1 Ag 2.84, 5 Cd 2.98-3.16, 1 Ga 3.00
Cd: 0.7288 0.7662 0.4576  3 Ga 2.80-3.09, 1 Ag 2.98, 4 Cd 2.98-3.06
Cd: 0.5000 0.0000 0.0000  4 Ga 2.92, 2 Cd 3.06
Cd: 0.2712 0.2338 0.5424  3 Ga 2.80-3.09, 1 Ag 2.98, 4 Cd 2.98-3.06
Ga: 0.3318 0.4627 0.6636  3 Cd 2.80-3.09, 6 Ga 2.82-3.10, 2 Ag 2.83
Ga: 0.9723 0.2803 0.9446  2 Ag 2.68-2.82, 2 Ga 2.82, 2 Cd 2.92
Ga: 0.6682 0.5373 0.3364  3 Cd 2.80-3.09, 6 Ga 2.82-3.10, 2 Ag 2.83
Ga: 0.0277 0.7197 0.0554  2 Ag 2.68-2.82, 2 Ga 2.82, 2 Cd 2.92
Ag: 0.0869 0.3930 0.1739  4 Ga 2.68-2.83, 2 Cd 2.84-2.98, 1 Ag 2.90
Ag: 0.9131 0.6070 0.8261  4 Ga 2.68-2.83, 2 Cd 2.84-2.98, 1 Ag 2.90

E (eV/cell): -21.722
SG: C2/m
N(E_F) (states/eV per cell): 3.76

***

Cd2GaAg: optimized geometry, GGA-PBE.

Cell: 3.0696 3.0696 9.8289 Å, 89.88 89.88 59.96°
Last column: nearest neighbours and their distance in Å.
Positions (direct):
Cd: 0.9594 0.9594 0.7554  3 Ag 2.98-2.99, 3 Ga 3.07-3.09, 6 Cd 3.07
Cd: 0.2919 0.2919 0.2446  3 Ag 2.98-2.99, 6 Cd 3.07, 3 Ga 3.07
Ga: 0.6230 0.6230 0.5000  6 Cd 3.07-3.09, 6 Ga 3.07
Ag: 0.6257 0.6257 0.0000  6 Cd 2.98-2.99, 6 Ag 3.07

E (eV/cell): -7.674
SG: Cm
N(E_F) (states/eV per cell): 0.83

***

Cd2GaAg4: optimized geometry, GGA-PBE.

Cell: 7.3725 5.9617 7.7678 Å, 110.30 115.23 102.30°
Last column: nearest neighbours and their distance in Å.
Positions (direct):
Cd: 0.6028 0.4627 0.6300  9 Ag 2.85-3.09, 1 Ga 2.97, 2 Cd 3.03-3.08
Cd: 0.7100 0.8103 0.2922  8 Ag 2.95-3.08, 2 Cd 2.98-2.99, 2 Ga 3.25-3.27
Cd: 0.7137 0.3087 0.2842  7 Ag 2.94-3.22, 4 Cd 2.98-3.28, 2 Ga 3.14-3.26
Cd: 0.0338 0.3861 0.7700  9 Ag 2.83-3.11, 1 Cd 3.08
Ga: 0.1845 0.7766 0.4775  5 Ag 2.62-2.83
Ga: 0.8875 0.9976 0.0224  5 Ag 2.60-2.90
Ag: 0.1374 0.2454 0.4481  1 Ga 2.60, 2 Cd 2.83-2.85
Ag: 0.3032 0.4317 0.2108  2 Ga 2.90-2.94, 4 Cd 2.97-3.13, 6 Ag 2.97-3.13
Ag: 0.0189 0.8632 0.7371  2 Ga 2.72-2.73, 3 Ag 2.91-3.00, 3 Cd 2.96-3.02
Ag: 0.6208 0.9776 0.6407  2 Ga 2.69-2.71, 3 Cd 2.95-2.96, 1 Ag 3.00
Ag: 0.3019 0.9282 0.1990  2 Ga 2.96-2.98, 7 Ag 2.97-3.11, 4 Cd 3.02-3.11
Ag: 0.4195 0.2742 0.8651  1 Ga 2.83, 7 Ag 2.84-3.09, 4 Cd 2.90-3.08
Ag: 0.4322 0.7791 0.8662  2 Ga 2.78-2.83, 4 Cd 2.94-3.03, 6 Ag 2.98-3.05
Ag: 0.8837 0.5086 0.0567  1 Ga 2.62, 1 Cd 2.83, 1 Ag 2.84

E (eV/cell): -32.854
SG: P1
N(E_F) (states/eV per cell): 3.21

***

Cd3Ga2Ag2: optimized geometry, GGA-PBE.

Cell: 4.3748 3.0024 10.8548 Å, 90.00 78.37 90.00°
Last column: nearest neighbours and their distance in Å.
Positions (direct):
Cd: 0.8576 0.0000 0.2848  3 Cd 3.00-3.03, 4 Ga 3.04, 4 Ag 3.06
Cd: 0.0000 0.0000 0.0000  4 Cd 3.00-3.03, 8 Ag 3.05
Cd: 0.1424 0.0000 0.7152  3 Cd 3.00-3.03, 4 Ga 3.04, 4 Ag 3.06
Ga: 0.7125 0.5000 0.5750  4 Ga 2.71-3.00, 1 Ag 3.02
Ga: 0.2875 0.5000 0.4250  4 Ga 2.71-3.00, 1 Ag 3.02
Ag: 0.5706 0.5000 0.8587  3 Ag 3.00, 1 Ga 3.02, 8 Cd 3.05-3.06
Ag: 0.4294 0.5000 0.1413  3 Ag 3.00, 1 Ga 3.02, 8 Cd 3.05-3.06

E (eV/cell): -14.352
SG: Cmmm
N(E_F) (states/eV per cell): 2.11

***

Cd2Ga4Ag5: optimized geometry, GGA-PBE.

Cell: 5.8164 6.1505 7.3982 Å, 76.65 66.85 61.78°
Last column: nearest neighbours and their distance in Å.
Positions (direct):
Cd: 0.2518 0.6784 0.8181  4 Ga 2.76-2.95, 4 Ag 3.00-3.03
Cd: 0.7482 0.3216 0.1819  4 Ga 2.76-2.95, 4 Ag 3.00-3.03
Ga: 0.2559 0.9998 0.4884  5 Ag 2.72-2.88, 3 Ga 2.76-2.91, 1 Cd 2.76
Ga: 0.7441 0.0002 0.5116  5 Ag 2.72-2.88, 3 Ga 2.76-2.91, 1 Cd 2.76
Ga: 0.7216 0.7025 0.8543  3 Ag 2.70-2.79, 1 Ga 2.76, 3 Cd 2.92-2.95
Ga: 0.2784 0.2975 0.1457  3 Ag 2.70-2.79, 1 Ga 2.76, 3 Cd 2.92-2.95
Ag: 0.2467 0.1949 0.8102  4 Ga 2.76-3.04, 3 Ag 2.90-2.98, 2 Cd 3.00-3.03
Ag: 0.7533 0.8051 0.1898  4 Ga 2.76-3.04, 3 Ag 2.90-2.98, 2 Cd 3.00-3.03
Ag: 0.0000 0.5000 0.5000  4 Ga 2.70-2.72, 4 Ag 2.98
Ag: 0.7482 0.1949 0.8102  4 Ga 2.76-3.04, 3 Ag 2.90-2.98, 2 Cd 3.00-3.03
Ag: 0.2518 0.8051 0.1898  4 Ga 2.76-3.04, 3 Ag 2.90-2.98, 2 Cd 3.00-3.03

E (eV/cell): -27.750
SG: C2/m
N(E_F) (states/eV per cell): 3.67

***

What formation energy from the elements values result from the calculations? In sequence: 0.1; 0.1; 0.4; 0.4; 0.0; 1.4; -0.3; 0.7; 0.0; -0.2; 0.1; 0.4 eV per formula unit.